1.
AcEuNi2 | GGA-PBE | optimized geometry

magnetic moment: 1.7588 μB/atom
formation enthalpy at 0 K: -37.1 kJ/mol of formula units

Cell: 5.0639 5.0639 3.6011 Å, 90.00 90.00 90.00°
Space group P4/mmm (No. 123)
Unique sites:
Ac1 0.0000 0.0000 0.0000 (multiplicity 1)
Eu1 0.5000 0.5000 0.0000 (multiplicity 1)
Ni1 0.0000 0.5000 0.5000 (multiplicity 2)

=====

2.
NiMo2Se | GGA-PBE | optimized geometry

magnetic moment: 0.0000 μB/atom
formation energy from raw total energies: 0.70 eV per formula unit

Cell: 2.9565 4.1839 4.9491 Å, 90.00 103.73 90.00°
Space group Pm (No. 6)
Unique sites:
Ni1 0.0000 0.0000 0.0000 (multiplicity 1)
Mo1 0.4168 0.5000 0.7555 (multiplicity 1)
Mo2 0.6497 0.0000 0.4856 (multiplicity 1)
Se1 0.1110 0.5000 0.2206 (multiplicity 1)

=====

3.
V6CoGe3 | GGA-PBE | optimized geometry

magnetic moment: 0.0000 μB/atom
formation enthalpy at 0 K: -31.1 kJ/mol of formula units

Cell: 7.9334 14.2148 4.9986 Å, 90.00 90.00 90.00°
Space group Cmc2_1 (No. 36)
Unique sites:
V1 0.0000 0.0104 0.0000 (multiplicity 4)
V2 0.0000 0.3183 0.4440 (multiplicity 4)
V3 0.1735 0.2488 0.9686 (multiplicity 8)
V4 0.2348 0.4317 0.2680 (multiplicity 8)
Co1 0.0000 0.1677 0.6380 (multiplicity 4)
Ge1 0.0000 0.4127 0.9368 (multiplicity 4)
Ge2 0.1962 0.1105 0.2691 (multiplicity 8)

=====

4.
Cs2GeWCl6 | GGA-PBE | optimized geometry

magnetic moment: 0.2000 μB/atom
formation energy from raw total energies: -10.34 eV per formula unit

Cell: 7.2491 7.2491 12.1762 Å, 90.00 90.00 90.00°
Space group I4/mmm (No. 139)
Unique sites:
Cs1 0.0000 0.5000 0.2500 (multiplicity 4)
Ge1 0.0000 0.0000 0.0000 (multiplicity 2)
W1 0.0000 0.0000 0.5000 (multiplicity 2)
Cl1 0.0000 0.0000 0.2983 (multiplicity 4)
Cl2 0.2394 0.2394 0.5000 (multiplicity 8)

=====

5.
Zr3ClF | GGA-PBE | optimized geometry

magnetic moment: 0.0000 μB/atom
formation energy from raw total energies: -1.18 eV per formula unit
relative energy among the computed polymorphs: 0 meV/atom

Cell: 4.5890 4.5890 4.5890 Å, 90.00 90.00 90.00°
Space group Pm-3m (No. 221)
Unique sites:
Zr1 0.0000 0.0000 0.5000 (multiplicity 3)
Cl1 0.5000 0.5000 0.5000 (multiplicity 1)
F1 0.0000 0.0000 0.0000 (multiplicity 1)

=====

6.
Ti2BeSi | GGA-PBE | optimized geometry

magnetic moment: 0.0000 μB/atom
formation energy from raw total energies: -0.87 eV per formula unit
relative energy among the computed polymorphs: 308 meV/atom

Cell: 3.7556 3.7556 14.1607 Å, 90.00 90.00 120.00°
Space group R3m (No. 160, hexagonal axes)
Unique sites:
Ti1 0.0000 0.0000 0.0000 (multiplicity 3)
Ti2 0.0000 0.0000 0.2069 (multiplicity 3)
Be1 0.0000 0.0000 0.7816 (multiplicity 3)
Si1 0.0000 0.0000 0.4316 (multiplicity 3)